## Na3CrRe2O9 (PBE with a Hubbard U)

Data for a relaxed Na3CrRe2O9 crystal.

Output
* crystal system: trigonal
* SG: No. 164
* total magnetization: 1.9 Bohr magnetons per cell
* DFT total energy: -106.9 eV per cell

Unit cell a=5.4759 b=5.4759 c=6.7163 alpha=90.00 beta=90.00 gamma=120.00
Last column: nearest neighbours and their distance in Å.
Fractional positions:
Na  0.0000  0.0000  0.0000  12 O 2.72-2.74
Na  0.3333  0.6667  0.6569  12 O 2.71-2.79
Na  0.6667  0.3333  0.3431  12 O 2.71-2.79
Cr  0.0000  0.0000  0.5000  6 O 1.97
Re  0.3333  0.6667  0.1721  6 O 1.88-1.96
Re  0.6667  0.3333  0.8279  6 O 1.88-1.96
O  0.0000  0.5000  0.0000  2 Re 1.96
O  0.1687  0.3375  0.3279  1 Re 1.88, 1 Cr 1.97
O  0.1687  0.8313  0.3279  1 Re 1.88, 1 Cr 1.97
O  0.3375  0.1687  0.6721  1 Re 1.88, 1 Cr 1.97
O  0.5000  0.0000  0.0000  2 Re 1.96
O  0.5000  0.5000  0.0000  2 Re 1.96
O  0.6625  0.8313  0.3279  1 Re 1.88, 1 Cr 1.97
O  0.8313  0.1687  0.6721  1 Re 1.88, 1 Cr 1.97
O  0.8313  0.6625  0.6721  1 Re 1.88, 1 Cr 1.97